Material: SmAgGeTe3
Method: DFT, GGA-PBE
State: optimized geometry

a b c (Å): 8.712 4.243 9.639
angles (deg): 90.00 101.68 90.00
Fractional positions:
Sm1 0.178 0.250 0.243
Sm2 0.822 0.750 0.757
Ag1 0.083 0.250 0.582
Ag2 0.917 0.750 0.418
Ge1 0.335 0.750 0.851
Ge2 0.665 0.250 0.149
Te1 0.097 0.250 0.880
Te2 0.267 0.750 0.497
Te3 0.417 0.750 0.151
Te4 0.583 0.250 0.849
Te5 0.733 0.250 0.503
Te6 0.903 0.750 0.120

Total energy in hartree per atom: -0.1552
Total magnetic moment in μB per formula unit: 0.00
Volume in Å³ per cell: 349